VASP calculation (GGA-PBE) on crystalline TaZnIr3 at its relaxed geometry.

Values from the calculation:
Energy of formation from the pure elements ... 1.12 eV/atom
Calculated total energy ... -0.501 Ry/atom
Symmetry ... No. 221
Energy above the most stable polymorph in this dataset ... 975 meV per atom

a = 4.4429 Å, b = 4.4429 Å, c = 4.4429 Å
α = 90.00°, β = 90.00°, γ = 90.00°
Fractional positions:
1 Zn 0.0000 0.0000 0.0000
2 Ir 0.0000 0.5000 0.0000
3 Ta 0.5000 0.5000 0.5000
4 Ir 0.5000 0.0000 0.0000
5 Ir 0.0000 0.0000 0.5000